# In3Hg4 | the Alexandria database | GGA-PBE | relaxed
# symmetry: I4/mmm (139)
# energy above the lowest structure with this stoichiometry: 11 meV/atom
data_In3Hg4
_chemical_formula_sum 'In3 Hg4'
_symmetry_space_group_name_H-M 'P 1'
_symmetry_Int_Tables_number 1
_cell_length_a 3.9823
_cell_length_b 3.9823
_cell_length_c 12.0830
_cell_angle_alpha 99.49
_cell_angle_beta 99.49
_cell_angle_gamma 90.00
loop_
_symmetry_equiv_pos_as_xyz
'x,y,z'
loop_
_atom_site_label
_atom_site_type_symbol
_atom_site_fract_x
_atom_site_fract_y
_atom_site_fract_z
Hg1 Hg 0.5696 0.5696 0.1392
Hg2 Hg 0.4304 0.4304 0.8608
Hg3 Hg 0.1420 0.1420 0.2840
Hg4 Hg 0.8580 0.8580 0.7160
In1 In 0.2911 0.2911 0.5821
In2 In 0.0000 0.0000 0.0000
In3 In 0.7089 0.7089 0.4179

# In5Hg | the Alexandria database | GGA-PBE | relaxed
# symmetry: Amm2 (38)
# energy above the lowest structure with this stoichiometry: 9 meV/atom
data_In5Hg
_chemical_formula_sum 'In5 Hg1'
_symmetry_space_group_name_H-M 'P 1'
_symmetry_Int_Tables_number 1
_cell_length_a 9.1279
_cell_length_b 9.1279
_cell_length_c 5.1820
_cell_angle_alpha 90.00
_cell_angle_beta 90.00
_cell_angle_gamma 157.84
loop_
_symmetry_equiv_pos_as_xyz
'x,y,z'
loop_
_atom_site_label
_atom_site_type_symbol
_atom_site_fract_x
_atom_site_fract_y
_atom_site_fract_z
In1 In 0.4555 0.5445 0.5000
In2 In 0.7855 0.2145 0.5000
In3 In 0.1141 0.8859 0.5000
In4 In 0.3307 0.6693 0.0000
In5 In 0.6572 0.3428 0.0000
Hg1 Hg 0.9902 0.0098 0.0000

# In4Hg5 | the Alexandria database | GGA-PBE | relaxed
# symmetry: P6_3/mcm (193)
# energy above the lowest structure with this stoichiometry: 12 meV/atom
data_In4Hg5
_chemical_formula_sum 'In8 Hg10'
_symmetry_space_group_name_H-M 'P 1'
_symmetry_Int_Tables_number 1
_cell_length_a 9.5023
_cell_length_b 9.5023
_cell_length_c 6.1767
_cell_angle_alpha 90.00
_cell_angle_beta 90.00
_cell_angle_gamma 120.00
loop_
_symmetry_equiv_pos_as_xyz
'x,y,z'
loop_
_atom_site_label
_atom_site_type_symbol
_atom_site_fract_x
_atom_site_fract_y
_atom_site_fract_z
Hg1 Hg 0.7022 0.7022 0.7500
Hg2 Hg 0.2978 0.0000 0.7500
Hg3 Hg 0.2978 0.2978 0.2500
Hg4 Hg 0.6667 0.3333 0.5000
Hg5 Hg 0.3333 0.6667 0.5000
Hg6 Hg 0.0000 0.2978 0.7500
Hg7 Hg 0.7022 0.0000 0.2500
Hg8 Hg 0.3333 0.6667 0.0000
Hg9 Hg 0.6667 0.3333 0.0000
Hg10 Hg 0.0000 0.7022 0.2500
In1 In 0.0000 0.6292 0.7500
In2 In 0.6292 0.0000 0.7500
In3 In 0.3708 0.3708 0.7500
In4 In 0.6292 0.6292 0.2500
In5 In 0.0000 0.0000 0.5000
In6 In 0.0000 0.3708 0.2500
In7 In 0.0000 0.0000 0.0000
In8 In 0.3708 0.0000 0.2500

# InHg | the Alexandria database | GGA-PBE | relaxed
# symmetry: P-6m2 (187)
data_InHg
_chemical_formula_sum 'In1 Hg1'
_symmetry_space_group_name_H-M 'P 1'
_symmetry_Int_Tables_number 1
_cell_length_a 3.5229
_cell_length_b 3.5229
_cell_length_c 4.9846
_cell_angle_alpha 90.00
_cell_angle_beta 90.00
_cell_angle_gamma 120.00
loop_
_symmetry_equiv_pos_as_xyz
'x,y,z'
loop_
_atom_site_label
_atom_site_type_symbol
_atom_site_fract_x
_atom_site_fract_y
_atom_site_fract_z
In1 In 0.6667 0.3333 0.5000
Hg1 Hg 0.0000 0.0000 0.0000

# In8Hg | the Alexandria database | GGA-PBE | relaxed
# symmetry: I4/mmm (139)
data_In8Hg
_chemical_formula_sum 'In8 Hg1'
_symmetry_space_group_name_H-M 'P 1'
_symmetry_Int_Tables_number 1
_cell_length_a 4.5570
_cell_length_b 7.6255
_cell_length_c 7.6255
_cell_angle_alpha 84.88
_cell_angle_beta 72.61
_cell_angle_gamma 72.61
loop_
_symmetry_equiv_pos_as_xyz
'x,y,z'
loop_
_atom_site_label
_atom_site_type_symbol
_atom_site_fract_x
_atom_site_fract_y
_atom_site_fract_z
In1 In 0.3352 0.3297 0.0000
In2 In 0.0000 0.6676 0.3324
In3 In 0.3324 0.6676 0.6676
In4 In 0.6648 0.0000 0.6703
In5 In 0.6676 0.3324 0.3324
In6 In 0.3352 0.0000 0.3297
In7 In 0.6648 0.6703 0.0000
In8 In 0.0000 0.3324 0.6676
Hg1 Hg 0.0000 0.0000 0.0000

# In4Hg5 | the Alexandria database | GGA-PBE | relaxed
# symmetry: P-1 (2)
# energy above the lowest structure with this stoichiometry: 0 meV/atom
data_In4Hg5
_chemical_formula_sum 'In4 Hg5'
_symmetry_space_group_name_H-M 'P 1'
_symmetry_Int_Tables_number 1
_cell_length_a 3.1479
_cell_length_b 10.2172
_cell_length_c 8.9810
_cell_angle_alpha 101.89
_cell_angle_beta 96.55
_cell_angle_gamma 62.01
loop_
_symmetry_equiv_pos_as_xyz
'x,y,z'
loop_
_atom_site_label
_atom_site_type_symbol
_atom_site_fract_x
_atom_site_fract_y
_atom_site_fract_z
Hg1 Hg 0.0991 0.6522 0.3096
Hg2 Hg 0.9009 0.3478 0.6904
Hg3 Hg 0.0000 0.0000 0.0000
Hg4 Hg 0.7302 0.3200 0.3489
Hg5 Hg 0.2698 0.6800 0.6511
In1 In 0.5082 0.6615 0.9907
In2 In 0.4918 0.3385 0.0093
In3 In 0.2209 0.9760 0.3343
In4 In 0.7791 0.0240 0.6657

Short version: E_tot = -0.0979, -0.1700, -0.1002, -0.1107, -0.1803, -0.1011 Ry/atom, in the order given.
Short version: E_form = 0.01, 0.02, 0.02, 0.01, 0.01, 0.01 eV/atom, in the order given.
Short version: DOS(E_F) = 0.3317, 0.4146, 0.3775, 0.6110, 0.3776, 0.1972 states/eV per atom, in the order given.